No. 1
# Pr4InRu2

Crystalline Pr4InRu2 at its relaxed geometry (PBE-GGA, Alexandria via LeMat-Bulk).

Cell lengths 4.8315, 4.8315, 10.3185 Å; angles 76.46, 76.46, 60.00 degrees
Atoms (fractional coordinates):
Pr: 0.2035 0.2035 0.3896
In: 0.0000 0.0000 0.0000
Pr: 0.3902 0.3902 0.8293
Ru: 0.9049 0.9049 0.2854
Pr: 0.7965 0.7965 0.6104
Ru: 0.0951 0.0951 0.7146
Pr: 0.6098 0.6098 0.1707

Properties
Energy of formation from the pure elements (eV per atom): -0.165

---

No. 2
# NaCdInHg

Crystalline NaCdInHg at its relaxed geometry (PBE-GGA, Alexandria via LeMat-Bulk).

Cell lengths 4.8387, 4.8389, 5.4259 Å; angles 116.48, 116.48, 90.00 degrees
Atoms (fractional coordinates):
Hg: 0.2500 0.7501 0.5000
Cd: 0.7500 0.2499 0.5000
In: 0.5000 0.5000 0.0000
Na: 0.0000 0.0000 0.0000

Properties
ΔE to the lowest computed polymorph (eV/atom): 0.000
Energy of formation from the pure elements (eV per atom): -0.126